## A
A plane-wave DFT calculation with PBE was carried out for OsAu2 after structural relaxation.

a b c (Å): 2.8394 2.8394 7.1184
angles (deg): 90.00 90.00 120.00
Closest atoms and distances in Å follow each position.
Atoms (fractional coordinates):
Au1 0.0000 0.0000 0.0076  9 Au 2.84-2.97, 3 Os 2.84
Au2 0.3333 0.6667 0.6590  9 Au 2.84-2.97, 3 Os 2.84
Os1 0.6667 0.3333 0.3333  6 Os 2.84, 6 Au 2.84

Properties
The size of the total moment comes out at 0.0 μB per cell.

## B
A plane-wave DFT calculation with PBE was carried out for OsAu2 after structural relaxation.

a b c (Å): 6.5777 6.5777 3.8255
angles (deg): 90.00 90.00 141.64
Closest atoms and distances in Å follow each position.
Atoms (fractional coordinates):
Os1 0.9378 0.0622 0.7500  2 Os 2.46
Os2 0.0622 0.9378 0.2500  2 Os 2.46
Au1 0.5866 0.4134 0.7500  6 Os 2.84-2.90, 6 Au 2.85-2.91
Au2 0.4134 0.5866 0.2500  6 Os 2.84-2.90, 6 Au 2.85-2.91
Au3 0.2438 0.7562 0.7500  8 Au 2.85-2.91, 2 Os 2.96
Au4 0.7562 0.2438 0.2500  8 Au 2.85-2.91, 2 Os 2.96

Properties
The size of the total moment comes out at 0.0 μB per cell.

What should be chosen as the most stable of them? Choose A.

## A
A plane-wave DFT calculation with PBE was carried out for OsAu2 after structural relaxation.

a b c (Å): 13.8117 13.8117 13.8117
angles (deg): 168.61 168.61 16.13
Closest atoms and distances in Å follow each position.
Atoms (fractional coordinates):
Os1 0.7500 0.2500 0.5000  4 Os 2.74, 8 Au 2.89
Os2 0.0000 0.0000 0.0000  4 Os 2.74, 8 Au 2.89
Au1 0.4217 0.4217 0.0000  6 Au 2.74-2.90, 4 Os 2.89
Au2 0.5783 0.5783 0.0000  6 Au 2.74-2.90, 4 Os 2.89
Au3 0.1717 0.6717 0.5000  6 Au 2.74-2.90, 4 Os 2.89
Au4 0.3283 0.8283 0.5000  6 Au 2.74-2.90, 4 Os 2.89

Properties
The size of the total moment comes out at 0.0 μB per cell.

## B
A plane-wave DFT calculation with PBE was carried out for OsAu2 after structural relaxation.

a b c (Å): 5.2894 5.2894 5.2894
angles (deg): 102.67 102.67 124.15
Closest atoms and distances in Å follow each position.
Atoms (fractional coordinates):
Os1 0.7500 0.7500 0.0000  2 Os 2.48
Os2 0.2500 0.2500 0.0000  2 Os 2.48
Au1 0.1578 0.3422 0.5000  4 Os 2.78, 3 Au 2.95-3.02
Au2 0.3422 0.8422 0.1844  4 Os 2.78, 3 Au 2.95-3.02
Au3 0.6578 0.1578 0.8156  4 Os 2.78, 3 Au 2.95-3.02
Au4 0.8422 0.6578 0.5000  4 Os 2.78, 3 Au 2.95-3.02

Properties
The size of the total moment comes out at 0.0 μB per cell.

## C
A plane-wave DFT calculation with PBE was carried out for OsAu2 after structural relaxation.

a b c (Å): 7.9268 7.9268 4.5767
angles (deg): 90.00 90.00 159.70
Closest atoms and distances in Å follow each position.
Atoms (fractional coordinates):
Os1 0.2259 0.7741 0.7500  6 Os 2.78-2.79, 6 Au 2.81-2.99
Os2 0.7741 0.2259 0.2500  6 Os 2.78-2.79, 6 Au 2.81-2.99
Au1 0.8819 0.1181 0.7500  8 Au 2.79-3.06, 4 Os 2.81-2.84
Au2 0.1181 0.8819 0.2500  8 Au 2.79-3.06, 4 Os 2.81-2.84
Au3 0.4434 0.5566 0.2500  10 Au 2.79-3.06, 2 Os 2.99
Au4 0.5566 0.4434 0.7500  10 Au 2.79-3.06, 2 Os 2.99

Properties
The size of the total moment comes out at 0.0 μB per cell.

What should be chosen as the most stable of them? Choose C.

## A
A plane-wave DFT calculation with PBE was carried out for OsAu2 after structural relaxation.

a b c (Å): 5.1989 5.1989 9.4838
angles (deg): 90.00 90.00 120.00
Closest atoms and distances in Å follow each position.
Atoms (fractional coordinates):
Os1 0.3333 0.6667 0.0064  6 Au 2.85-3.00, 3 Os 3.00
Os2 0.3333 0.6667 0.4936  6 Au 2.85-3.00, 3 Os 3.00
Os3 0.6667 0.3333 0.5064  6 Au 2.85-3.00, 3 Os 3.00
Os4 0.6667 0.3333 0.9936  6 Au 2.85-3.00, 3 Os 3.00
Au1 0.0000 0.0000 0.0000  6 Au 2.81, 6 Os 3.00
Au2 0.0000 0.0000 0.5000  6 Au 2.81, 6 Os 3.00
Au3 0.1679 0.3359 0.7500  6 Au 2.58-2.81, 2 Os 2.85
Au4 0.1679 0.8321 0.7500  6 Au 2.58-2.81, 2 Os 2.85
Au5 0.3359 0.1679 0.2500  6 Au 2.58-2.81, 2 Os 2.85
Au6 0.6641 0.8321 0.7500  6 Au 2.58-2.81, 2 Os 2.85
Au7 0.8321 0.1679 0.2500  6 Au 2.58-2.81, 2 Os 2.85
Au8 0.8321 0.6641 0.2500  6 Au 2.58-2.81, 2 Os 2.85

Properties
The size of the total moment comes out at 4.9 μB per cell.

## B
A plane-wave DFT calculation with PBE was carried out for OsAu2 after structural relaxation.

a b c (Å): 4.6094 4.6094 5.6124
angles (deg): 90.00 90.00 120.00
Closest atoms and distances in Å follow each position.
Atoms (fractional coordinates):
Os1 0.3333 0.6667 0.7500  5 Au 2.66-2.81
Os2 0.6667 0.3333 0.2500  5 Au 2.66-2.81
Au1 0.0000 0.0000 0.0000  8 Au 2.81-3.01, 6 Os 3.01
Au2 0.0000 0.0000 0.5000  8 Au 2.81-3.01, 6 Os 3.01
Au3 0.3333 0.6667 0.2500  5 Os 2.66-2.81
Au4 0.6667 0.3333 0.7500  5 Os 2.66-2.81

Properties
The size of the total moment comes out at 3.3 μB per cell.

## C
A plane-wave DFT calculation with PBE was carried out for OsAu2 after structural relaxation.

a b c (Å): 4.8938 4.8938 8.3394
angles (deg): 66.01 66.01 33.60
Closest atoms and distances in Å follow each position.
Atoms (fractional coordinates):
Os1 0.3372 0.3372 0.5598  5 Os 2.65-2.83, 7 Au 2.76-2.97
Os2 0.6628 0.6628 0.4402  5 Os 2.65-2.83, 7 Au 2.76-2.97
Au1 0.9932 0.9932 0.7471  7 Au 2.75-3.01, 5 Os 2.76-2.92
Au2 0.6694 0.6694 0.9028  10 Au 2.75-3.01, 2 Os 2.97
Au3 0.3306 0.3306 0.0972  10 Au 2.75-3.01, 2 Os 2.97
Au4 0.0068 0.0068 0.2529  7 Au 2.75-3.01, 5 Os 2.76-2.92

Properties
The size of the total moment comes out at 0.0 μB per cell.

What should be chosen as the most stable of them? Choose C.

## A
A plane-wave DFT calculation with PBE was carried out for OsAu2 after structural relaxation.

a b c (Å): 5.0919 5.0919 5.0919
angles (deg): 148.88 132.15 58.18
Closest atoms and distances in Å follow each position.
Atoms (fractional coordinates):
Au1 0.9955 0.9955 0.0000  7 Au 2.73-2.93, 5 Os 2.87-3.01
Au2 0.6712 0.6712 0.0000  7 Au 2.73-2.93, 5 Os 2.87-3.01
Os1 0.3333 0.3333 0.0000  2 Os 2.73, 10 Au 2.87-3.01

Properties
The size of the total moment comes out at 0.0 μB per cell.

## B
A plane-wave DFT calculation with PBE was carried out for OsAu2 after structural relaxation.

a b c (Å): 6.8246 6.8246 6.8246
angles (deg): 156.60 156.60 33.34
Closest atoms and distances in Å follow each position.
Atoms (fractional coordinates):
Au1 0.9942 0.9942 0.0000  8 Au 2.77-3.04, 4 Os 2.87
Au2 0.6725 0.6725 0.0000  8 Au 2.77-3.04, 4 Os 2.87
Os1 0.3333 0.3333 0.0000  4 Os 2.77, 8 Au 2.87

Properties
The size of the total moment comes out at 0.0 μB per cell.

## C
A plane-wave DFT calculation with PBE was carried out for OsAu2 after structural relaxation.

a b c (Å): 5.8543 3.9343 8.9538
angles (deg): 90.00 90.00 90.00
Closest atoms and distances in Å follow each position.
Atoms (fractional coordinates):
Os1 0.0852 0.2500 0.9427  2 Os 2.43
Os2 0.4148 0.7500 0.4427  2 Os 2.43
Os3 0.5852 0.2500 0.5573  2 Os 2.43
Os4 0.9148 0.7500 0.0573  2 Os 2.43
Au1 0.1481 0.2500 0.2555  7 Au 2.82-3.01, 5 Os 2.83-3.02
Au2 0.1046 0.2500 0.5907  7 Au 2.82-3.01, 5 Os 2.83-3.15
Au3 0.3954 0.7500 0.0907  7 Au 2.82-3.01, 5 Os 2.83-3.15
Au4 0.3519 0.7500 0.7555  7 Au 2.82-3.01, 5 Os 2.83-3.02
Au5 0.6481 0.2500 0.2445  7 Au 2.82-3.01, 5 Os 2.83-3.02
Au6 0.6046 0.2500 0.9093  7 Au 2.82-3.01, 5 Os 2.83-3.15
Au7 0.8954 0.7500 0.4093  7 Au 2.82-3.01, 5 Os 2.83-3.15
Au8 0.8519 0.7500 0.7445  7 Au 2.82-3.01, 5 Os 2.83-3.02

Properties
The size of the total moment comes out at 0.0 μB per cell.

What should be chosen as the most stable of them? Choose C.

## A
A plane-wave DFT calculation with PBE was carried out for OsAu3 after structural relaxation.

a b c (Å): 4.0844 4.0844 4.0844
angles (deg): 90.00 90.00 90.00
Closest atoms and distances in Å follow each position.
Atoms (fractional coordinates):
Au1 0.0000 0.0000 0.0000  4 Os 2.89, 8 Au 2.89
Au2 0.0000 0.5000 0.5000  4 Os 2.89, 8 Au 2.89
Au3 0.5000 0.0000 0.5000  4 Os 2.89, 8 Au 2.89
Os1 0.5000 0.5000 0.0000  12 Au 2.89

Properties
The size of the total moment comes out at 0.0 μB per cell.

## B
A plane-wave DFT calculation with PBE was carried out for OsAu3 after structural relaxation.

a b c (Å): 8.4303 8.4303 8.4303
angles (deg): 151.49 151.49 40.76
Closest atoms and distances in Å follow each position.
Atoms (fractional coordinates):
Os1 0.3757 0.3757 0.0000  12 Au 2.86-2.94
Os2 0.6243 0.6243 0.0000  12 Au 2.86-2.94
Au1 0.5000 0.0000 0.5000  4 Os 2.86, 8 Au 2.88-2.94
Au2 0.1261 0.1261 0.0000  8 Au 2.85-2.88, 4 Os 2.94
Au3 0.8739 0.8739 0.0000  8 Au 2.85-2.88, 4 Os 2.94
Au4 0.7500 0.2500 0.5000  8 Au 2.85-2.94, 4 Os 2.87
Au5 0.2500 0.7500 0.5000  8 Au 2.85-2.94, 4 Os 2.87
Au6 0.0000 0.5000 0.5000  4 Os 2.86, 8 Au 2.88-2.94

Properties
The size of the total moment comes out at 1.0 μB per cell.

What should be chosen as the most stable of them? Choose B.